# 1
VASP calculation (GGA-PBE) on a geometry-optimized CaPm7Sm4 structure.

abc: 6.380 7.369 9.113
angles: 90.02 103.44 90.00
Atoms (fractional coordinates):
1 Ca 0.000 0.000 0.000
2 Pm 0.000 0.500 0.000
3 Pm 0.227 0.000 0.659
4 Pm 0.282 0.255 0.336
5 Pm 0.500 0.256 0.000
6 Pm 0.500 0.744 0.000
7 Pm 0.718 0.745 0.664
8 Pm 0.773 0.000 0.341
9 Sm 0.221 0.500 0.670
10 Sm 0.282 0.746 0.335
11 Sm 0.718 0.254 0.665
12 Sm 0.779 0.500 0.330


# 2
VASP calculation (GGA-PBE) on a geometry-optimized CaPm2Sm structure.

Polymorph energy (0 for the lowest one) (eV/atom): 0.0988

abc: 5.859 5.859 5.859
angles: 60.00 60.00 60.00
Atoms (fractional coordinates):
1 Ca 0.000 0.000 0.000
2 Pm 0.250 0.250 0.250
3 Pm 0.750 0.750 0.750
4 Sm 0.500 0.500 0.500


# 3
VASP calculation (GGA-PBE) on a geometry-optimized Ca2Pm5Sm structure.

abc: 11.199 11.199 11.199
angles: 153.11 153.11 38.40
Atoms (fractional coordinates):
1 Ca 0.250 0.250 0.000
2 Ca 0.750 0.750 0.000
3 Pm 0.000 0.000 0.000
4 Pm 0.118 0.618 0.500
5 Pm 0.382 0.882 0.500
6 Pm 0.618 0.118 0.500
7 Pm 0.882 0.382 0.500
8 Sm 0.500 0.500 0.000


# 4
VASP calculation (GGA-PBE) on a geometry-optimized CaPm2Sm structure.

Polymorph energy (0 for the lowest one) (eV/atom): 0.0526

abc: 5.214 5.214 5.176
angles: 90.00 90.00 90.00
Atoms (fractional coordinates):
1 Ca 0.000 0.000 0.000
2 Pm 0.000 0.500 0.500
3 Pm 0.500 0.000 0.500
4 Sm 0.500 0.500 0.000


# 5
VASP calculation (GGA-PBE) on a geometry-optimized CaPm8Sm4 structure.

abc: 6.335 6.335 15.065
angles: 93.95 93.95 48.30
Atoms (fractional coordinates):
1 Ca 0.000 0.000 0.000
2 Pm 0.077 0.077 0.766
3 Pm 0.232 0.232 0.309
4 Pm 0.306 0.306 0.080
5 Pm 0.462 0.462 0.615
6 Pm 0.538 0.538 0.385
7 Pm 0.694 0.694 0.920
8 Pm 0.768 0.768 0.691
9 Pm 0.923 0.923 0.234
10 Sm 0.153 0.153 0.538
11 Sm 0.380 0.380 0.841
12 Sm 0.620 0.620 0.159
13 Sm 0.847 0.847 0.462


# 6
VASP calculation (GGA-PBE) on a geometry-optimized CaPm4Sm8 structure.

abc: 6.322 6.322 15.036
angles: 93.99 93.99 48.32
Atoms (fractional coordinates):
1 Ca 0.000 0.000 0.000
2 Pm 0.153 0.153 0.538
3 Pm 0.380 0.380 0.841
4 Pm 0.620 0.620 0.159
5 Pm 0.847 0.847 0.462
6 Sm 0.077 0.077 0.766
7 Sm 0.232 0.232 0.308
8 Sm 0.306 0.306 0.080
9 Sm 0.462 0.462 0.615
10 Sm 0.538 0.538 0.385
11 Sm 0.694 0.694 0.920
12 Sm 0.768 0.768 0.692
13 Sm 0.923 0.923 0.234


# 7
VASP calculation (GGA-PBE) on a geometry-optimized CaPmSm6 structure.

Polymorph energy (0 for the lowest one) (eV/atom): 0.0000

abc: 6.328 6.328 10.359
angles: 114.22 114.22 48.21
Atoms (fractional coordinates):
1 Ca 0.000 0.000 0.000
2 Pm 0.000 0.000 0.500
3 Sm 0.246 0.246 0.871
4 Sm 0.252 0.252 0.379
5 Sm 0.498 0.498 0.257
6 Sm 0.502 0.502 0.743
7 Sm 0.748 0.748 0.621
8 Sm 0.754 0.754 0.129


# 8
VASP calculation (GGA-PBE) on a geometry-optimized CaPmSm2 structure.

Polymorph energy (0 for the lowest one) (eV/atom): 0.0000

abc: 12.355 12.355 12.355
angles: 17.09 17.09 17.09
Atoms (fractional coordinates):
1 Ca 0.000 0.000 0.000
2 Pm 0.166 0.166 0.166
3 Sm 0.579 0.579 0.579
4 Sm 0.753 0.753 0.753


# 9
VASP calculation (GGA-PBE) on a geometry-optimized Ca2Pm12Sm5 structure.

abc: 11.178 11.178 10.328
angles: 114.84 114.84 37.76
Atoms (fractional coordinates):
1 Ca 0.240 0.760 0.000
2 Ca 0.760 0.240 0.000
3 Pm 0.038 0.038 0.381
4 Pm 0.089 0.545 0.954
5 Pm 0.091 0.554 0.375
6 Pm 0.351 0.351 0.682
7 Pm 0.446 0.909 0.625
8 Pm 0.455 0.911 0.046
9 Pm 0.545 0.089 0.954
10 Pm 0.554 0.091 0.375
11 Pm 0.649 0.649 0.318
12 Pm 0.909 0.446 0.625
13 Pm 0.911 0.455 0.046
14 Pm 0.962 0.962 0.619
15 Sm 0.123 0.123 0.787
16 Sm 0.179 0.179 0.331
17 Sm 0.500 0.500 0.500
18 Sm 0.821 0.821 0.669
19 Sm 0.877 0.877 0.213


# 10
VASP calculation (GGA-PBE) on a geometry-optimized CaPm4Sm5 structure.

abc: 3.664 3.664 25.903
angles: 90.00 90.00 90.00
Atoms (fractional coordinates):
1 Ca 0.000 0.000 0.000
2 Pm 0.000 0.000 0.203
3 Pm 0.000 0.000 0.401
4 Pm 0.000 0.000 0.599
5 Pm 0.000 0.000 0.797
6 Sm 0.500 0.500 0.108
7 Sm 0.500 0.500 0.303
8 Sm 0.500 0.500 0.500
9 Sm 0.500 0.500 0.697
10 Sm 0.500 0.500 0.892


# 11
VASP calculation (GGA-PBE) on a geometry-optimized CaPm3Sm12 structure.

abc: 5.158 5.158 20.604
angles: 90.00 90.00 90.00
Atoms (fractional coordinates):
1 Ca 0.000 0.000 0.000
2 Pm 0.000 0.000 0.251
3 Pm 0.000 0.000 0.500
4 Pm 0.000 0.000 0.749
5 Sm 0.000 0.500 0.129
6 Sm 0.000 0.500 0.376
7 Sm 0.000 0.500 0.624
8 Sm 0.000 0.500 0.871
9 Sm 0.500 0.000 0.129
10 Sm 0.500 0.000 0.376
11 Sm 0.500 0.000 0.624
12 Sm 0.500 0.000 0.871
13 Sm 0.500 0.500 0.000
14 Sm 0.500 0.500 0.250
15 Sm 0.500 0.500 0.500
16 Sm 0.500 0.500 0.750


# 12
VASP calculation (GGA-PBE) on a geometry-optimized CaPm15Sm4 structure.

abc: 5.174 5.174 25.810
angles: 90.00 90.00 90.00
Atoms (fractional coordinates):
1 Ca 0.000 0.000 0.000
2 Pm 0.000 0.500 0.103
3 Pm 0.000 0.500 0.301
4 Pm 0.000 0.500 0.500
5 Pm 0.000 0.500 0.699
6 Pm 0.000 0.500 0.897
7 Pm 0.500 0.000 0.103
8 Pm 0.500 0.000 0.301
9 Pm 0.500 0.000 0.500
10 Pm 0.500 0.000 0.699
11 Pm 0.500 0.000 0.897
12 Pm 0.500 0.500 0.000
13 Pm 0.500 0.500 0.200
14 Pm 0.500 0.500 0.400
15 Pm 0.500 0.500 0.600
16 Pm 0.500 0.500 0.800
17 Sm 0.000 0.000 0.201
18 Sm 0.000 0.000 0.400
19 Sm 0.000 0.000 0.600
20 Sm 0.000 0.000 0.799


Number 1: total energy -53.81 eV per cell, calculated formation energy 0.03 eV/atom, density of states at the Fermi level 15.56 states/eV/f.u.. Number 2: total energy -15.67 eV per cell, calculated formation energy 0.14 eV/atom, density of states at the Fermi level 7.55 states/eV/f.u.. Number 3: total energy -32.09 eV per cell, calculated formation energy 0.05 eV/atom, density of states at the Fermi level 11.84 states/eV/f.u.. Number 4: total energy -15.86 eV per cell, calculated formation energy 0.09 eV/atom, density of states at the Fermi level 6.70 states/eV/f.u.. Number 5: total energy -58.46 eV per cell, calculated formation energy 0.03 eV/atom, density of states at the Fermi level 18.73 states/eV/f.u.. Number 6: total energy -58.32 eV per cell, calculated formation energy 0.03 eV/atom, density of states at the Fermi level 18.74 states/eV/f.u.. Number 7: total energy -34.68 eV per cell, calculated formation energy 0.05 eV/atom, density of states at the Fermi level 12.18 states/eV/f.u.. Number 8: total energy -16.01 eV per cell, calculated formation energy 0.05 eV/atom, density of states at the Fermi level 6.12 states/eV/f.u.. Number 9: total energy -78.06 eV per cell, calculated formation energy 0.34 eV/atom, density of states at the Fermi level 27.62 states/eV/f.u.. Number 10: total energy -44.32 eV per cell, calculated formation energy 0.03 eV/atom, density of states at the Fermi level 13.61 states/eV/f.u.. Number 11: total energy -72.36 eV per cell, calculated formation energy 0.03 eV/atom, density of states at the Fermi level 23.71 states/eV/f.u.. Number 12: total energy -91.61 eV per cell, calculated formation energy 0.03 eV/atom, density of states at the Fermi level 29.42 states/eV/f.u..